DFT (PBE) results for an optimized crystal structure of BaSi2Pt3.

The raw total energy comes out at -35.4 eV/f.u. The value obtained for the uncorrected formation energy is -4.5 eV per formula unit. Its density of states at the Fermi level is 0.519 states/eV per atom.

It has space group C2/m (No. 12), with a = 18.066 Å, b = 4.127 Å, c = 7.922 Å, α = 90.00°, β = 115.90° and γ = 90.00°. The asymmetric unit holds Ba at (0.177, 0.000, 0.176), Si at (0.000, 0.500, 0.147), Si at (0.122, 0.000, 0.622), Pt at (0.000, 0.000, 0.307), Pt at (0.119, 0.500, 0.447) and Pt at (0.119, 0.500, 0.789).